Compound: Pm2PCl
Source: Alexandria via LeMat-Bulk
Functional: PBE
Structure: relaxed

The density of states at the Fermi level is 1.2 states/eV/f.u. The value obtained for the total magnetic moment is 0.0 μB per cell. As for the energy relative to the lowest polymorph listed for this composition: 25 meV/atom.

The space group is R3m (No. 160, hexagonal axes) and the conventional cell measures 4.0258, 4.0258 and 21.6994 Å, with angles of 90.00, 90.00 and 120.00 degrees. The distinct sites, in fractional coordinates, are Pm at (0.0000, 0.0000, 0.0000), Pm at (0.0000, 0.0000, 0.1923), P at (0.0000, 0.0000, 0.5949) and Cl at (0.0000, 0.0000, 0.7645).



Compound: Pm2PCl
Source: Alexandria via LeMat-Bulk
Functional: PBE
Structure: relaxed

The density of states at the Fermi level is 3.1 states/eV/f.u. The value obtained for the total magnetic moment is 0.0 μB per cell. As for the energy relative to the lowest polymorph listed for this composition: 379 meV/atom.

The space group is P4/mmm (No. 123) and the conventional cell measures 4.9616, 4.9616 and 3.6359 Å, with angles of 90.00, 90.00 and 90.00 degrees. The distinct sites, in fractional coordinates, are Pm at (0.0000, 0.5000, 0.0000), P at (0.0000, 0.0000, 0.5000) and Cl at (0.5000, 0.5000, 0.5000).



Compound: Pm8P6Cl
Source: Alexandria via LeMat-Bulk
Functional: PBE
Structure: relaxed

The density of states at the Fermi level is 10.3 states/eV/f.u. The value obtained for the total magnetic moment is 0.0 μB per cell. Its raw total energy is -6.108 eV/atom.

The space group is P-3 (No. 147) and the conventional cell measures 10.8989, 10.8989 and 4.2380 Å, with angles of 90.00, 90.00 and 120.00 degrees. The distinct sites, in fractional coordinates, are Pm at (0.0363, 0.3676, 0.2550), Pm at (0.3333, 0.6667, 0.7472), P at (0.1416, 0.6652, 0.2459) and Cl at (0.0000, 0.0000, 0.5000).



Compound: Pm2PCl
Source: Alexandria via LeMat-Bulk
Functional: PBE
Structure: relaxed

The density of states at the Fermi level is 2.7 states/eV/f.u. The value obtained for the total magnetic moment is 0.0 μB per cell. As for the energy relative to the lowest polymorph listed for this composition: 272 meV/atom.

The space group is Fm-3m (No. 225) and the conventional cell measures 7.0903, 7.0903 and 7.0903 Å, with angles of 90.00, 90.00 and 90.00 degrees. The distinct sites, in fractional coordinates, are Pm at (0.2500, 0.2500, 0.2500), P at (0.0000, 0.0000, 0.0000) and Cl at (0.0000, 0.0000, 0.5000).



Compound: Pm6PCl8
Source: Alexandria via LeMat-Bulk
Functional: PBE
Structure: relaxed

The density of states at the Fermi level is 3.2 states/eV/f.u. The value obtained for the total magnetic moment is 0.0 μB per cell. Its raw total energy is -5.071 eV/atom.

The space group is R-3 (No. 148, hexagonal axes) and the conventional cell measures 7.0870, 7.0870 and 30.0734 Å, with angles of 90.00, 90.00 and 120.00 degrees. The distinct sites, in fractional coordinates, are Pm at (0.0000, 0.3087, 0.4480), P at (0.0000, 0.0000, 0.5000), Cl at (0.0000, 0.0000, 0.1667) and Cl at (0.0000, 0.3392, 0.6064).



Compound: Pm4P2Cl3
Source: Alexandria via LeMat-Bulk
Functional: PBE
Structure: relaxed

The density of states at the Fermi level is 3.5 states/eV/f.u. The value obtained for the total magnetic moment is 0.0 μB per cell. Its raw total energy is -5.731 eV/atom.

The space group is C2/m (No. 12) and the conventional cell measures 7.0758, 4.0852 and 17.0437 Å, with angles of 90.00, 90.06 and 90.00 degrees. The distinct sites, in fractional coordinates, are Pm at (0.0008, 0.0000, 0.2965), Pm at (0.1664, 0.5000, 0.8842), P at (0.1672, 0.5000, 0.2036), Cl at (0.0000, 0.0000, 0.0000) and Cl at (0.1656, 0.5000, 0.6054).



Compound: Pm2PCl
Source: Alexandria via LeMat-Bulk
Functional: PBE
Structure: relaxed

The density of states at the Fermi level is 1.5 states/eV/f.u. The value obtained for the total magnetic moment is 0.0 μB per cell. As for the energy relative to the lowest polymorph listed for this composition: 0 meV/atom.

The space group is R-3m (No. 166, hexagonal axes) and the conventional cell measures 4.1152, 4.1152 and 20.5869 Å, with angles of 90.00, 90.00 and 120.00 degrees. The distinct sites, in fractional coordinates, are Pm at (0.0000, 0.0000, 0.2379), P at (0.0000, 0.0000, 0.5000) and Cl at (0.0000, 0.0000, 0.0000).



Compound: Pm2PCl
Source: Alexandria via LeMat-Bulk
Functional: PBE
Structure: relaxed

The density of states at the Fermi level is 1.7 states/eV/f.u. The value obtained for the total magnetic moment is 0.0 μB per cell. As for the energy relative to the lowest polymorph listed for this composition: 151 meV/atom.

The space group is Pmmn (No. 59, origin choice 2) and the conventional cell measures 4.0323, 7.1486 and 7.1494 Å, with angles of 90.00, 90.00 and 90.00 degrees. The distinct sites, in fractional coordinates, are Pm at (0.2500, 0.0036, 0.2175), P at (0.2500, 0.7500, 0.9072) and Cl at (0.2500, 0.2500, 0.5749).



Compound: Pm3P2Cl
Source: Alexandria via LeMat-Bulk
Functional: PBE
Structure: relaxed

The density of states at the Fermi level is 4.3 states/eV/f.u. The value obtained for the total magnetic moment is 1.8 μB per cell. Its raw total energy is -5.776 eV/atom.

The space group is Cmcm (No. 63) and the conventional cell measures 4.1836, 13.6095 and 10.6715 Å, with angles of 90.00, 90.00 and 90.00 degrees. The distinct sites, in fractional coordinates, are Pm at (0.0000, 0.1037, 0.2500), Pm at (0.0000, 0.3530, 0.0550), P at (0.0000, 0.0000, 0.0000), P at (0.0000, 0.2515, 0.7500) and Cl at (0.0000, 0.4744, 0.2500).



Compound: Pm6P3Cl2
Source: Alexandria via LeMat-Bulk
Functional: PBE
Structure: relaxed

The density of states at the Fermi level is 4.3 states/eV/f.u. The value obtained for the total magnetic moment is 0.0 μB per cell. Its raw total energy is -5.869 eV/atom.

The space group is C2/m (No. 12) and the conventional cell measures 7.0949, 12.2498 and 7.0908 Å, with angles of 90.00, 109.49 and 90.00 degrees. The distinct sites, in fractional coordinates, are Pm at (0.2397, 0.0000, 0.2256), Pm at (0.2458, 0.3345, 0.2317), P at (0.0000, 0.1697, 0.0000), P at (0.0000, 0.5000, 0.0000) and Cl at (0.0000, 0.3346, 0.5000).



Compound: Pm6P5Cl
Source: Alexandria via LeMat-Bulk
Functional: PBE
Structure: relaxed

The density of states at the Fermi level is 2.6 states/eV/f.u. The value obtained for the total magnetic moment is 0.0 μB per cell. Its raw total energy is -6.424 eV/atom.

The space group is C2/m (No. 12) and the conventional cell measures 7.1635, 12.3854 and 7.1402 Å, with angles of 90.00, 109.53 and 90.00 degrees. The distinct sites, in fractional coordinates, are Pm at (0.2382, 0.0000, 0.2588), Pm at (0.2399, 0.1740, 0.7426), P at (0.0000, 0.0000, 0.5000), P at (0.0000, 0.1671, 0.0000), P at (0.0000, 0.3366, 0.5000) and Cl at (0.0000, 0.5000, 0.0000).



Compound: PmPrPCl
Source: Alexandria via LeMat-Bulk
Functional: PBE
Structure: relaxed

The density of states at the Fermi level is 1.2 states/eV/f.u. The value obtained for the total magnetic moment is 0.0 μB per cell. Its raw total energy is -5.788 eV/atom.

The space group is R3m (No. 160, hexagonal axes) and the conventional cell measures 4.0592, 4.0592 and 21.8560 Å, with angles of 90.00, 90.00 and 120.00 degrees. The distinct sites, in fractional coordinates, are Pm at (0.0000, 0.0000, 0.0000), Pr at (0.0000, 0.0000, 0.1918), P at (0.0000, 0.0000, 0.5989) and Cl at (0.0000, 0.0000, 0.4262).



Compound: Pm4PPtCl2
Source: Alexandria via LeMat-Bulk
Functional: PBE
Structure: relaxed

The density of states at the Fermi level is 5.4 states/eV/f.u. The value obtained for the total magnetic moment is 0.0 μB per cell. Its raw total energy is -5.699 eV/atom.

The space group is P2/m (No. 10) and the conventional cell measures 7.2360, 4.0554 and 7.4140 Å, with angles of 90.00, 108.20 and 90.00 degrees. The distinct sites, in fractional coordinates, are Pm at (0.2201, 0.0000, 0.2356), Pm at (0.2245, 0.5000, 0.7342), P at (0.0000, 0.0000, 0.5000), Pt at (0.0000, 0.5000, 0.0000), Cl at (0.5000, 0.0000, 0.0000) and Cl at (0.5000, 0.5000, 0.5000).



Compound: Pm6PRu2Cl3
Source: Alexandria via LeMat-Bulk
Functional: PBE
Structure: relaxed

The density of states at the Fermi level is 9.3 states/eV/f.u. The value obtained for the total magnetic moment is 0.0 μB per cell. Its raw total energy is -5.935 eV/atom.

The space group is C2/m (No. 12) and the conventional cell measures 7.1077, 12.3178 and 7.7056 Å, with angles of 90.00, 107.99 and 90.00 degrees. The distinct sites, in fractional coordinates, are Pm at (0.2238, 0.0000, 0.2062), Pm at (0.2398, 0.3280, 0.2071), P at (0.0000, 0.5000, 0.0000), Ru at (0.0000, 0.1673, 0.0000), Cl at (0.0000, 0.0000, 0.5000) and Cl at (0.0000, 0.3380, 0.5000).



Compound: Pm6P2RuCl3
Source: Alexandria via LeMat-Bulk
Functional: PBE
Structure: relaxed

The density of states at the Fermi level is 6.7 states/eV/f.u. The value obtained for the total magnetic moment is 0.0 μB per cell. Its raw total energy is -5.856 eV/atom.

The space group is C2/m (No. 12) and the conventional cell measures 18.2707, 4.0250 and 8.7276 Å, with angles of 90.00, 104.49 and 90.00 degrees. The distinct sites, in fractional coordinates, are Pm at (0.0060, 0.0000, 0.2266), Pm at (0.1533, 0.5000, 0.1053), Pm at (0.1753, 0.5000, 0.5648), P at (0.1657, 0.0000, 0.3382), Ru at (0.0000, 0.5000, 0.0000), Cl at (0.0000, 0.5000, 0.5000) and Cl at (0.1721, 0.0000, 0.8302).



Compound: Pm8P3S4Cl
Source: Alexandria via LeMat-Bulk
Functional: PBE
Structure: relaxed

The density of states at the Fermi level is 6.4 states/eV/f.u. The value obtained for the total magnetic moment is 0.0 μB per cell. Its raw total energy is -6.378 eV/atom.

The space group is R-3m (No. 166, hexagonal axes) and the conventional cell measures 8.1952, 8.1952 and 19.8784 Å, with angles of 90.00, 90.00 and 120.00 degrees. The distinct sites, in fractional coordinates, are Pm at (0.0000, 0.0000, 0.2474), Pm at (0.0194, 0.5097, 0.7483), P at (0.0000, 0.5000, 0.5000), S at (0.0000, 0.0000, 0.0000), S at (0.0000, 0.5000, 0.0000) and Cl at (0.0000, 0.0000, 0.5000).



Compound: Pm6P2S3Cl
Source: Alexandria via LeMat-Bulk
Functional: PBE
Structure: relaxed

The density of states at the Fermi level is 4.7 states/eV/f.u. The value obtained for the total magnetic moment is 0.0 μB per cell. Its raw total energy is -6.288 eV/atom.

The space group is C2/m (No. 12) and the conventional cell measures 17.7523, 4.0783 and 8.1775 Å, with angles of 90.00, 102.88 and 90.00 degrees. The distinct sites, in fractional coordinates, are Pm at (0.0028, 0.0000, 0.2745), Pm at (0.1687, 0.5000, 0.5800), Pm at (0.1762, 0.5000, 0.0949), P at (0.1654, 0.0000, 0.3305), S at (0.0000, 0.5000, 0.5000), S at (0.1623, 0.0000, 0.8350) and Cl at (0.0000, 0.5000, 0.0000).



Compound: Pm4P2SCl
Source: Alexandria via LeMat-Bulk
Functional: PBE
Structure: relaxed

The density of states at the Fermi level is 3.5 states/eV/f.u. The value obtained for the total magnetic moment is 0.0 μB per cell. Its raw total energy is -6.216 eV/atom.

The space group is P2/m (No. 10) and the conventional cell measures 7.1035, 4.0808 and 7.1721 Å, with angles of 90.00, 109.09 and 90.00 degrees. The distinct sites, in fractional coordinates, are Pm at (0.2311, 0.0000, 0.2252), Pm at (0.2449, 0.5000, 0.7676), P at (0.0000, 0.5000, 0.0000), P at (0.5000, 0.0000, 0.0000), S at (0.0000, 0.0000, 0.5000) and Cl at (0.5000, 0.5000, 0.5000).



Compound: Pm4PS2Cl
Source: Alexandria via LeMat-Bulk
Functional: PBE
Structure: relaxed

The density of states at the Fermi level is 2.8 states/eV/f.u. The value obtained for the total magnetic moment is 0.0 μB per cell. Its raw total energy is -6.121 eV/atom.

The space group is P2/m (No. 10) and the conventional cell measures 7.0315, 4.0830 and 7.1062 Å, with angles of 90.00, 109.49 and 90.00 degrees. The distinct sites, in fractional coordinates, are Pm at (0.2288, 0.0000, 0.2227), Pm at (0.2441, 0.5000, 0.7681), P at (0.5000, 0.0000, 0.0000), S at (0.0000, 0.0000, 0.5000), S at (0.0000, 0.5000, 0.0000) and Cl at (0.5000, 0.5000, 0.5000).



Compound: Pm6P3S2Cl
Source: Alexandria via LeMat-Bulk
Functional: PBE
Structure: relaxed

The density of states at the Fermi level is 4.5 states/eV/f.u. The value obtained for the total magnetic moment is 0.0 μB per cell. Its raw total energy is -6.354 eV/atom.

The space group is C2/m (No. 12) and the conventional cell measures 17.9239, 4.0847 and 8.2342 Å, with angles of 90.00, 103.72 and 90.00 degrees. The distinct sites, in fractional coordinates, are Pm at (0.0013, 0.0000, 0.2292), Pm at (0.1657, 0.5000, 0.0879), Pm at (0.1753, 0.5000, 0.5829), P at (0.0000, 0.5000, 0.0000), P at (0.1641, 0.0000, 0.3340), S at (0.1654, 0.0000, 0.8302) and Cl at (0.0000, 0.5000, 0.5000).